Below is an optimized crystal structure of In2TeCl, with properties calculated at the PBE level.

abc: 7.658 7.658 7.658
angles: 90.00 90.00 90.00
Space group Fm-3m (No. 225)
Unique sites:
In 0.250 0.250 0.250 (multiplicity 8)
Te 0.000 0.000 0.000 (multiplicity 4)
Cl 0.000 0.000 0.500 (multiplicity 4)

Output
The value obtained for the total energy is -12.2 eV per formula unit. The energy relative to the elements, uncorrected is -1.70 eV/f.u.